The following is a GGA-PBE calculation of crystalline MnCuSe2 at its relaxed geometry, from Alexandria.

Its total energy is -4.619 eV per atom. The calculation puts the energy relative to the elements, uncorrected at 10.15 kcal/mol of atoms.

abc: 6.5467 6.5467 6.5467
angles: 90.00 90.00 90.00
Space group F-43m (No. 216)
Unique sites:
Mn (0.0000, 0.0000, 0.0000) (multiplicity 4)
Cu (0.2500, 0.2500, 0.2500) (multiplicity 4)
Se (0.0000, 0.0000, 0.5000) (multiplicity 4)
Se (0.2500, 0.2500, 0.7500) (multiplicity 4)

---

The following is a GGA-PBE calculation of crystalline Mn2CuSe at its relaxed geometry, from Alexandria.

Its total energy is -6.353 eV per atom. The calculation puts the energy relative to the elements, uncorrected at 2.93 kcal/mol of atoms.

abc: 3.4185 3.2870 10.9878
angles: 90.00 90.00 90.00
Space group Amm2 (No. 38)
Unique sites:
Mn (0.0000, 0.0000, 0.0000) (multiplicity 2)
Mn (0.5000, 0.0000, 0.3597) (multiplicity 2)
Cu (0.5000, 0.0000, 0.5980) (multiplicity 2)
Se (0.0000, 0.0000, 0.7651) (multiplicity 2)

---

The following is a GGA-PBE calculation of crystalline MnCu2Se at its relaxed geometry, from Alexandria.

Its total energy is -4.933 eV per atom. The calculation puts the energy relative to the elements, uncorrected at 6.43 kcal/mol of atoms.

abc: 2.8238 2.8238 7.5979
angles: 90.00 90.00 90.00
Space group P4/mmm (No. 123)
Unique sites:
Mn (0.0000, 0.0000, 0.0000) (multiplicity 1)
Cu (0.5000, 0.5000, 0.2250) (multiplicity 2)
Se (0.0000, 0.0000, 0.5000) (multiplicity 1)

---

The following is a GGA-PBE calculation of crystalline MnCuSe2 at its relaxed geometry, from Alexandria.

Its total energy is -5.005 eV per atom. The calculation puts the energy relative to the elements, uncorrected at 1.24 kcal/mol of atoms.

abc: 6.9075 12.2518 3.1617
angles: 90.00 90.07 90.00
Space group C2/c (No. 15)
Unique sites:
Mn (0.0000, 0.2329, 0.2500) (multiplicity 4)
Cu (0.0000, 0.4163, 0.7500) (multiplicity 4)
Se (0.2196, 0.1409, 0.7498) (multiplicity 8)

---

The following is a GGA-PBE calculation of crystalline MnCu4Se at its relaxed geometry, from Alexandria.

Its total energy is -4.662 eV per atom. The calculation puts the energy relative to the elements, uncorrected at 4.10 kcal/mol of atoms.

abc: 6.9951 6.9951 6.9951
angles: 90.00 90.00 90.00
Space group F-43m (No. 216)
Unique sites:
Mn (0.0000, 0.0000, 0.0000) (multiplicity 4)
Cu (0.1255, 0.1255, 0.3745) (multiplicity 16)
Se (0.2500, 0.2500, 0.7500) (multiplicity 4)

---

The following is a GGA-PBE calculation of crystalline MnCu2Se at its relaxed geometry, from Alexandria.

Its total energy is -4.992 eV per atom. The calculation puts the energy relative to the elements, uncorrected at 5.06 kcal/mol of atoms.

abc: 7.0960 7.0960 4.8982
angles: 90.00 90.00 90.00
Space group I-42d (No. 122)
Unique sites:
Mn (0.0000, 0.0000, 0.0000) (multiplicity 4)
Cu (0.2298, 0.2500, 0.6250) (multiplicity 8)
Se (0.0000, 0.0000, 0.5000) (multiplicity 4)

---

Q: Among the records above, which one has the highest energy relative to the elements, uncorrected?
A: number 1

---

Q: The lowest energy relative to the elements, uncorrected belongs to which entry?
A: number 4

---

Q: energy relative to the elements, uncorrected of number 4 (MnCuSe2)?
A: 1.24 kcal/mol of atoms

---

Q: What is the energy relative to the elements, uncorrected in the third record?
A: 6.43 kcal/mol of atoms